No. 1
# Tl2Ag3 (GGA-PBE, relaxed)
data_Tl2Ag3
_chemical_formula_sum 'Tl6 Ag9'
_space_group_name_H-M_alt 'R -3 m'
_space_group_IT_number 166
_space_group_name_Hall '-R 3 2"'
_cell_length_a 3.4556
_cell_length_b 3.4556
_cell_length_c 33.4483
_cell_angle_alpha 90.00
_cell_angle_beta 90.00
_cell_angle_gamma 120.00
loop_
_atom_site_label
_atom_site_fract_x
_atom_site_fract_y
_atom_site_fract_z
Tl1 0.0000 0.0000 0.0980
Ag1 0.0000 0.0000 0.3035
Ag2 0.0000 0.0000 0.5000
# Electronic total energy: -2.461 eV/atom
# Energy of formation from the pure elements: 0.196 eV/atom
# Magnetization: 0.0 μB/f.u.
# Polymorph energy (0 for the lowest one): 23.2 kJ/mol of formula units

=====

No. 2
# Tl5Ag (GGA-PBE, relaxed)
data_Tl5Ag
_chemical_formula_sum 'Tl5 Ag1'
_space_group_name_H-M_alt 'P -6 2 m'
_space_group_IT_number 189
_space_group_name_Hall 'P -6 -2'
_cell_length_a 6.0724
_cell_length_b 6.0724
_cell_length_c 5.3375
_cell_angle_alpha 90.00
_cell_angle_beta 90.00
_cell_angle_gamma 120.00
loop_
_atom_site_label
_atom_site_fract_x
_atom_site_fract_y
_atom_site_fract_z
Tl1 0.0000 0.6839 0.0000
Tl2 0.3333 0.6667 0.5000
Ag1 0.0000 0.0000 0.5000
# Electronic total energy: -2.350 eV/atom
# Energy of formation from the pure elements: 0.097 eV/atom
# Magnetization: 0.0 μB/f.u.
# Polymorph energy (0 for the lowest one): 17.2 kJ/mol of formula units

=====

No. 3
# Tl3Ag (GGA-PBE, relaxed)
data_Tl3Ag
_chemical_formula_sum 'Tl6 Ag2'
_space_group_name_H-M_alt 'I 4/m m m'
_space_group_IT_number 139
_space_group_name_Hall '-I 4 2'
_cell_length_a 4.744
_cell_length_b 4.744
_cell_length_c 9.659
_cell_angle_alpha 90.00
_cell_angle_beta 90.00
_cell_angle_gamma 90.00
loop_
_atom_site_label
_atom_site_fract_x
_atom_site_fract_y
_atom_site_fract_z
Tl1 0.000 0.000 0.000
Tl2 0.000 0.500 0.250
Ag1 0.000 0.000 0.500
# Electronic total energy: -2.365 eV/atom
# Energy of formation from the pure elements: 0.123 eV/atom
# Magnetization: 0.0 μB/f.u.
# Polymorph energy (0 for the lowest one): 20.0 kJ/mol of formula units